1.
RbSr3Rh: optimized geometry, GGA-PBE.

Results
M_tot = 0.0 Bohr magnetons per cell
Symmetry = No. 99
V = 279.0 Å³/cell

```
RbSr3Rh
1.0
4.919 0.000 0.000
0.000 4.919 0.000
0.000 0.000 11.532
Rb Sr Rh
1 3 1
direct
0.000 0.000 0.000 Rb
0.000 0.000 0.611 Sr
0.000 0.500 0.353 Sr
0.500 0.000 0.353 Sr
0.500 0.500 0.504 Rh
```

2.
RbSr3Rh: optimized geometry, GGA-PBE.

Results
M_tot = 0.0 Bohr magnetons per cell
Symmetry = No. 38
V = 395.1 Å³/cell

```
RbSr3Rh
1.0
4.265 0.000 0.000
0.000 4.059 11.412
0.000 -4.059 11.412
Rb Sr Rh
1 3 1
direct
0.000 0.000 0.000 Rb
0.000 0.439 0.916 Sr
0.000 0.916 0.439 Sr
0.500 0.815 0.815 Sr
0.500 0.697 0.697 Rh
```

3.
RbSr3Rh: optimized geometry, GGA-PBE.

Results
M_tot = 0.0 Bohr magnetons per cell
Symmetry = No. 1
V = 551.3 Å³/cell

```
RbSr3Rh
1.0
7.524 0.000 0.000
3.762 6.521 0.000
2.404 -0.005 11.237
Rb Sr Rh
2 6 2
direct
0.000 0.000 0.000 Rb
0.336 0.329 0.000 Rb
0.096 0.369 0.645 Sr
0.193 0.020 0.359 Sr
0.444 0.676 0.644 Sr
0.537 0.369 0.355 Sr
0.788 0.021 0.641 Sr
0.881 0.676 0.356 Sr
0.157 0.687 0.500 Rh
0.823 0.356 0.500 Rh
```

Pick 3: it beats the second-best structure by 0.239 eV/atom.